VASP calculation (PBE) on a geometry-optimized NbZnIO2 structure.

abc: 4.059 4.059 5.242
angles: 90.00 90.00 90.00
Positions (direct):
I1 0.000 0.000 0.500
Nb1 0.500 0.500 0.500
Zn1 0.000 0.000 0.000
O1 0.000 0.500 0.000
O2 0.500 0.000 0.000

Results
The formation energy without anion corrections is 279 meV per atom. The value obtained for the energy above the lowest structure with this stoichiometry is 1.3613 eV/atom. The symmetry is P4/mmm, No. 123.